# MoSe3F

MoSe3F after structural relaxation (GGA+U, the Alexandria database).

Cell and atoms, written as POSCAR:
```
MoSe3F
1.0
4.888 0.000 0.000
0.000 4.888 0.000
0.000 0.000 4.888
Mo Se F
1 3 1
direct
0.000 0.000 0.000
0.000 0.000 0.500
0.000 0.500 0.000
0.500 0.000 0.000
0.500 0.500 0.500
```

Results
Energy: -3.6232 eV/atom
M_tot: 0.001 μB/atom